# CsTbGe

CsTbGe after structural relaxation (GGA-PBE, Alexandria).

Computed properties:
- magnetization (μB per cell) = 0.2
- energy relative to the elements (eV per formula unit) = -0.7

Cell: 4.9789 4.9789 14.3781 Å, 80.03 80.03 60.00°
Sites, in units of the cell vectors:
Tb 0.3067 0.3067 0.0799
Tb 0.6933 0.6933 0.9201
Cs 0.1010 0.1010 0.6971
Cs 0.8990 0.8990 0.3029
Ge 0.3764 0.3764 0.8708
Ge 0.6236 0.6236 0.1292